Record 1
Here is PaNiRh5 after structural relaxation from the Alexandria database. Energies are from GGA-PBE.

Calculated values
Formation enthalpy at 0 K = -116 meV/atom
Symmetry = C2/c

abc: 6.6823 6.6823 7.3182
angles: 116.68 116.68 57.22
Sites, in units of the cell vectors:
Pa: 0.0049 0.9951 0.7500
Pa: 0.9951 0.0049 0.2500
Ni: 0.0000 0.5000 0.5000
Ni: 0.5000 0.0000 0.0000
Rh: 0.1492 0.5259 0.9438
Rh: 0.1854 0.6023 0.3485
Rh: 0.3959 0.6041 0.7500
Rh: 0.3977 0.8146 0.1515
Rh: 0.4741 0.8508 0.5562
Rh: 0.5259 0.1492 0.4438
Rh: 0.6023 0.1854 0.8485
Rh: 0.6041 0.3959 0.2500
Rh: 0.8146 0.3977 0.6515
Rh: 0.8508 0.4741 0.0562

Record 2
Here is Pa2Ni9Rh3 after structural relaxation from the Alexandria database. Energies are from GGA-PBE.

Calculated values
Formation enthalpy at 0 K = -201 meV/atom
Symmetry = Immm

abc: 7.3622 7.3622 7.3622
angles: 146.79 113.71 76.19
Sites, in units of the cell vectors:
Pa: 0.1942 0.1942 0.0000
Pa: 0.8058 0.8058 0.0000
Ni: 0.0000 0.5000 0.5000
Ni: 0.1263 0.7927 0.3335
Ni: 0.2265 0.3971 0.8294
Ni: 0.4324 0.6029 0.8294
Ni: 0.4592 0.7927 0.6665
Ni: 0.5408 0.2073 0.3335
Ni: 0.5676 0.3971 0.1706
Ni: 0.7735 0.6029 0.1706
Ni: 0.8737 0.2073 0.6665
Rh: 0.1813 0.0000 0.1813
Rh: 0.5000 0.0000 0.5000
Rh: 0.8187 0.0000 0.8187

Record 3
Here is Pa3Ni8Rh after structural relaxation from the Alexandria database. Energies are from GGA-PBE.

Calculated values
Formation enthalpy at 0 K = -456 meV/atom
Symmetry = R3m

abc: 8.7316 8.7316 8.7316
angles: 32.82 32.82 32.82
Sites, in units of the cell vectors:
Pa: 0.0000 0.0000 0.0000
Pa: 0.1309 0.1309 0.1309
Pa: 0.6092 0.6092 0.6092
Ni: 0.0575 0.0575 0.5624
Ni: 0.0575 0.5624 0.0575
Ni: 0.0600 0.5592 0.5592
Ni: 0.3098 0.3098 0.3098
Ni: 0.5592 0.0600 0.5592
Ni: 0.5592 0.5592 0.0600
Ni: 0.5624 0.0575 0.0575
Ni: 0.8085 0.8085 0.8085
Rh: 0.4925 0.4925 0.4925

Record 4
Here is PaNiRh after structural relaxation from the Alexandria database. Energies are from GGA-PBE.

Calculated values
Formation enthalpy at 0 K = -321 meV/atom
Relative energy among the computed polymorphs = 0.274 eV per atom
Symmetry = Pmma

abc: 4.8106 3.3069 6.4618
angles: 90.00 90.00 90.00
Sites, in units of the cell vectors:
Pa: 0.2500 0.0000 0.1381
Pa: 0.7500 0.0000 0.8619
Ni: 0.0000 0.0000 0.5000
Ni: 0.5000 0.0000 0.5000
Rh: 0.2500 0.5000 0.7628
Rh: 0.7500 0.5000 0.2372

| no. | M_tot (μB per cell) |
| --- | --- |
| 1 | 0.00 |
| 2 | 0.00 |
| 3 | 0.00 |
| 4 | 0.00 |